# 1
LiCa3Mn: optimized geometry, PBEsol.

## Properties
E_form, eV per atom: 0.494
Electronic total energy, eV/atom: -3.13
Total moment, μB/f.u.: 1.91
SG: Pm-3m

a = 5.507 Å, b = 5.507 Å, c = 5.507 Å
α = 90.00°, β = 90.00°, γ = 90.00°
Each line ends with the local moment (μB).
Positions (direct):
Ca: 0.500 0.000 0.000  -0.06
Ca: 0.000 0.500 0.000  -0.06
Ca: 0.000 0.000 0.500  -0.06
Mn: 0.000 0.000 0.000  2.77
Li: 0.500 0.500 0.500  -0.01

---

# 2
BaReAg2: optimized geometry, PBEsol.

## Properties
E_form, eV per atom: 1.160
Electronic total energy, eV/atom: -4.37
Total moment, μB/f.u.: 2.92
SG: F-43m
Energy relative to the lowest polymorph listed for this composition, eV/atom: 0.379

a = 4.999 Å, b = 4.999 Å, c = 4.999 Å
α = 60.00°, β = 60.00°, γ = 60.00°
Each line ends with the local moment (μB).
Positions (direct):
Ag: 0.750 0.750 0.750  0.02
Ag: 0.000 0.000 0.000  0.09
Ba: 0.500 0.500 0.500  0.08
Re: 0.250 0.250 0.250  2.37

---

# 3
Li2Cr2O7: optimized geometry, PBEsol.

## Properties
Electronic total energy, eV/atom: -7.40
Uncorrected formation energy, eV per atom: -1.8371
Total moment, μB/f.u.: 0.07
SG: P1
Energy relative to the lowest polymorph listed for this composition, eV/atom: 0.025

a = 6.394 Å, b = 6.331 Å, c = 7.266 Å
α = 85.63°, β = 68.69°, γ = 83.32°
Positions (direct):
O: 0.293 0.605 0.855
O: 0.088 0.214 0.366
O: 0.284 0.147 0.961
O: 0.443 0.937 0.231
O: 0.446 0.474 0.199
O: 0.454 0.251 0.546
O: 0.057 0.839 0.237
O: 0.701 0.285 0.776
O: 0.750 0.548 0.352
O: 0.839 0.693 0.958
O: 0.629 0.911 0.705
O: 0.086 0.546 0.602
O: 0.127 0.943 0.694
O: 0.785 0.186 0.180
Li: 0.052 0.238 0.647
Li: 0.761 0.842 0.200
Li: 0.578 0.597 0.905
Li: 0.088 0.542 0.337
Cr: 0.518 0.148 0.748
Cr: 0.089 0.698 0.776
Cr: 0.213 0.033 0.206
Cr: 0.612 0.369 0.312

---

# 4
Zn: optimized geometry, PBEsol.

## Properties
E_form, eV per atom: 0.009
Electronic total energy, eV/atom: -1.57
Total moment, μB/f.u.: 0.00
SG: C2/m
Energy relative to the lowest polymorph listed for this composition, eV/atom: 0.009

a = 2.610 Å, b = 2.775 Å, c = 6.765 Å
α = 83.95°, β = 78.88°, γ = 61.95°
Positions (direct):
Zn: 0.242 0.179 0.336
Zn: 0.000 0.000 0.000
Zn: 0.758 0.821 0.664

---

# 5
Hf2Tl2Zn: optimized geometry, PBEsol.

## Properties
E_form, eV per atom: 0.600
Electronic total energy, eV/atom: -4.97
Total moment, μB/f.u.: 0.00
SG: I4/mmm

a = 4.023 Å, b = 4.023 Å, c = 7.761 Å
α = 105.02°, β = 105.02°, γ = 90.00°
Positions (direct):
Hf: 0.407 0.407 0.815
Hf: 0.593 0.593 0.185
Tl: 0.250 0.750 0.500
Tl: 0.750 0.250 0.500
Zn: 0.000 0.000 0.000

---

# 6
BeAlTl2W: optimized geometry, PBEsol.

## Properties
E_form, eV per atom: 1.099
Electronic total energy, eV/atom: -4.33
Total moment, μB/f.u.: 0.74
SG: P4/mmm

a = 4.449 Å, b = 4.654 Å, c = 4.654 Å
α = 90.00°, β = 90.00°, γ = 90.00°
Each line ends with the local moment (μB).
Positions (direct):
Tl: 0.000 0.000 0.500  0.00
Tl: 0.000 0.500 0.000  0.00
W: 0.500 0.000 0.000  0.58
Al: 0.500 0.500 0.500  0.00
Be: 0.000 0.000 0.000  -0.01

---

# 7
DySiPd2: optimized geometry, PBEsol.

## Properties
Electronic total energy, eV/atom: -6.69
Uncorrected formation energy, eV per atom: -1.0318
Total moment, μB/f.u.: 0.00
SG: Pnma

a = 5.456 Å, b = 6.889 Å, c = 7.237 Å
α = 90.00°, β = 90.00°, γ = 90.00°
Positions (direct):
Dy: 0.141 0.250 0.972
Dy: 0.641 0.750 0.528
Dy: 0.859 0.750 0.028
Dy: 0.359 0.250 0.472
Pd: 0.907 0.448 0.322
Pd: 0.407 0.552 0.178
Pd: 0.407 0.948 0.178
Pd: 0.907 0.052 0.322
Pd: 0.593 0.052 0.822
Pd: 0.593 0.448 0.822
Pd: 0.093 0.552 0.678
Pd: 0.093 0.948 0.678
Si: 0.642 0.250 0.121
Si: 0.858 0.250 0.621
Si: 0.358 0.750 0.879
Si: 0.142 0.750 0.379

---

# 8
SrLiLa2: optimized geometry, PBEsol.

## Properties
E_form, eV per atom: 0.088
Electronic total energy, eV/atom: -3.54
Total moment, μB/f.u.: 0.00
SG: P4mm
Energy relative to the lowest polymorph listed for this composition, eV/atom: 0.000

a = 3.729 Å, b = 3.729 Å, c = 9.958 Å
α = 90.00°, β = 90.00°, γ = 90.00°
Positions (direct):
Li: 0.000 0.000 0.482
La: 0.000 0.000 0.027
La: 0.500 0.500 0.269
Sr: 0.500 0.500 0.722

---

# 9
CaMnOs: optimized geometry, PBEsol.

## Properties
E_form, eV per atom: 0.474
Electronic total energy, eV/atom: -7.56
Total moment, μB/f.u.: 0.33
SG: P-6m2
Energy relative to the lowest polymorph listed for this composition, eV/atom: 0.000

a = 3.871 Å, b = 3.871 Å, c = 4.662 Å
α = 90.00°, β = 90.00°, γ = 120.00°
Each line ends with the local moment (μB).
Positions (direct):
Mn: 0.667 0.333 0.000  0.35
Ca: 0.000 0.000 0.500  0.00
Os: 0.333 0.667 0.000  -0.04

---

# 10
MnHg2Se: optimized geometry, PBEsol.

## Properties
Electronic total energy, eV/atom: -3.66
Uncorrected formation energy, eV per atom: 0.0248
Total moment, μB/f.u.: 4.04
SG: Pm

a = 3.468 Å, b = 3.611 Å, c = 7.056 Å
α = 104.60°, β = 90.00°, γ = 90.00°
Each line ends with the local moment (μB).
Positions (direct):
Mn: 0.000 0.734 0.593  3.75
Hg: 0.500 0.563 0.252  0.01
Hg: 0.000 0.938 0.000  0.01
Se: 0.500 0.264 0.654  0.02

---

# 11
BaLiCoTe2: optimized geometry, PBEsol.

## Properties
Electronic total energy, eV/atom: -4.32
Uncorrected formation energy, eV per atom: -0.5439
Total moment, μB/f.u.: 1.02
SG: P4/mmm

a = 4.677 Å, b = 5.229 Å, c = 5.229 Å
α = 90.00°, β = 90.00°, γ = 90.00°
Each line ends with the local moment (μB).
Positions (direct):
Ba: 0.500 0.500 0.500  0.00
Li: 0.500 0.000 0.000  -0.01
Te: 0.000 0.000 0.500  0.03
Te: 0.000 0.500 0.000  0.03
Co: 0.000 0.000 0.000  1.02

---

# 12
Nb6Co16Si7: optimized geometry, PBEsol.

## Properties
Electronic total energy, eV/atom: -8.52
Uncorrected formation energy, eV per atom: -0.6210
Total moment, μB/f.u.: 0.00
SG: Fm-3m

a = 7.827 Å, b = 7.827 Å, c = 7.827 Å
α = 60.00°, β = 60.00°, γ = 60.00°
Positions (direct):
Co: 0.167 0.167 0.499
Co: 0.381 0.381 0.381
Co: 0.619 0.619 0.619
Co: 0.167 0.167 0.167
Co: 0.857 0.381 0.381
Co: 0.501 0.833 0.833
Co: 0.143 0.619 0.619
Co: 0.167 0.499 0.167
Co: 0.499 0.167 0.167
Co: 0.381 0.381 0.857
Co: 0.833 0.833 0.833
Co: 0.833 0.833 0.501
Co: 0.381 0.857 0.381
Co: 0.619 0.619 0.143
Co: 0.833 0.501 0.833
Co: 0.619 0.143 0.619
Si: 0.500 0.500 0.500
Si: 0.500 0.000 0.000
Si: 0.500 0.000 0.500
Si: 0.000 0.500 0.000
Si: 0.000 0.000 0.500
Si: 0.000 0.500 0.500
Si: 0.500 0.500 0.000
Nb: 0.203 0.797 0.797
Nb: 0.203 0.797 0.203
Nb: 0.203 0.203 0.797
Nb: 0.797 0.203 0.797
Nb: 0.797 0.797 0.203
Nb: 0.797 0.203 0.203

---

Repeat the fifth record exactly.
Hf2Tl2Zn: optimized geometry, PBEsol.

## Properties
E_form, eV per atom: 0.600
Electronic total energy, eV/atom: -4.97
Total moment, μB/f.u.: 0.00
SG: I4/mmm

a = 4.023 Å, b = 4.023 Å, c = 7.761 Å
α = 105.02°, β = 105.02°, γ = 90.00°
Positions (direct):
Hf: 0.407 0.407 0.815
Hf: 0.593 0.593 0.185
Tl: 0.250 0.750 0.500
Tl: 0.750 0.250 0.500
Zn: 0.000 0.000 0.000